Here is a geometry-optimized LaHCl structure from Alexandria via LeMat-Bulk. Energies are from PBE-GGA.

a b c (Å): 3.496 3.496 5.439
angles (deg): 108.75 108.75 90.00
Each line ends with the local moment (μB).
Element x y z (fractional)
1 H 0.284 0.284 0.567  0.00
2 La 0.704 0.704 0.408  0.13
3 Cl 0.012 0.012 0.024  0.00

Calculated values
crystal system = tetragonal
raw total energy = -13.58 eV for the cell shown
total moment = 0.07 μB per atom
SG = I4mm (107)